{"formula": "Ba6Fe3Si8C2Cl3O30", "functional": "GGA+U", "state": "optimized geometry", "cell": [[10.8694, 0.0000, 0.0000], [-5.4347, 9.4132, 0.0000], [0.0000, 0.0000, 7.2453]], "species": ["Ba", "Ba", "Ba", "Ba", "Ba", "Ba", "Fe", "Fe", "Fe", "Si", "Si", "Si", "Si", "Si", "Si", "Si", "Si", "C", "C", "Cl", "Cl", "Cl", "O", "O", "O", "O", "O", "O", "O", "O", "O", "O", "O", "O", "O", "O", "O", "O", "O", "O", "O", "O", "O", "O", "O", "O", "O", "O", "O", "O", "O", "O"], "frac_coords": [[0.0229, 0.5114, 0.0000], [0.1709, 0.3418, 0.4787], [0.1709, 0.8291, 0.4787], [0.4886, 0.5114, 0.0000], [0.4886, 0.9771, 0.0000], [0.6582, 0.8291, 0.4787], [0.5635, 0.1271, 0.4977], [0.5635, 0.4365, 0.4977], [0.8729, 0.4365, 0.4977], [0.0000, 0.0000, 0.2178], [0.0000, 0.0000, 0.7816], [0.3366, 0.1683, 0.2261], [0.3371, 0.1685, 0.7696], [0.8315, 0.1685, 0.7696], [0.8315, 0.6629, 0.7696], [0.8317, 0.1683, 0.2261], [0.8317, 0.6634, 0.2261], [0.3333, 0.6667, 0.3451], [0.3333, 0.6667, 0.7465], [0.1650, 0.3299, 0.0525], [0.1650, 0.8350, 0.0525], [0.6701, 0.8350, 0.0525], [0.0000, 0.0000, 0.9997], [0.1644, 0.0822, 0.7050], [0.1646, 0.0823, 0.2970], [0.1952, 0.5976, 0.3468], [0.2651, 0.5301, 0.7505], [0.2651, 0.7349, 0.7505], [0.3453, 0.1726, 0.9979], [0.4024, 0.5976, 0.3468], [0.4024, 0.8048, 0.3468], [0.4094, 0.0793, 0.6890], [0.4094, 0.3301, 0.6890], [0.4119, 0.0825, 0.3078], [0.4119, 0.3293, 0.3078], [0.4699, 0.7349, 0.7505], [0.6667, 0.3333, 0.5015], [0.6667, 0.3333, 0.9943], [0.6699, 0.0793, 0.6890], [0.6699, 0.5906, 0.6890], [0.6707, 0.0825, 0.3078], [0.6707, 0.5881, 0.3078], [0.8274, 0.1726, 0.9979], [0.8274, 0.6547, 0.9979], [0.9175, 0.3293, 0.3078], [0.9175, 0.5881, 0.3078], [0.9177, 0.0823, 0.2970], [0.9178, 0.0822, 0.7050], [0.9177, 0.8354, 0.2970], [0.9178, 0.8356, 0.7050], [0.9207, 0.3301, 0.6890], [0.9207, 0.5906, 0.6890]], "total_magnetization_mub_per_fu": 17.1, "total_energy_ev_per_atom": -7.0962, "crystal_system": "trigonal", "volume_a3_per_atom": 14.26}